# Nb2CuMo

Nb2CuMo after structural relaxation (PBE, Alexandria).

a = 3.1231 Å, b = 3.1231 Å, c = 24.3027 Å
α = 90.00°, β = 90.00°, γ = 120.00°
Space group R-3m (No. 166, hexagonal axes)
One atom of each set of equivalent atoms:
Nb (0.0000, 0.0000, 0.2488) (multiplicity 6)
Cu (0.0000, 0.0000, 0.0000) (multiplicity 3)
Mo (0.0000, 0.0000, 0.5000) (multiplicity 3)

Computed properties:
- DOS(E_F) (states/eV/cell) = 10.69
- V (Å³/atom) = 17.11

=====

# NbCuMo3

NbCuMo3 after structural relaxation (PBE, Alexandria).

a = 4.727 Å, b = 4.727 Å, c = 4.727 Å
α = 90.00°, β = 90.00°, γ = 90.00°
Space group Pm-3m (No. 221)
One atom of each set of equivalent atoms:
Nb (0.000, 0.000, 0.000) (multiplicity 1)
Cu (0.500, 0.500, 0.500) (multiplicity 1)
Mo (0.000, 0.000, 0.500) (multiplicity 3)

Computed properties:
- polymorph energy (0 for the lowest one) (eV per atom) = 0.493
- DOS(E_F) (states/eV/cell) = 4.07
- V (Å³/atom) = 21.12

=====

no.,VASP energy (eV per atom),total moment (μB/f.u.)
1,-8.46,0.00
2,-7.35,0.00